Compound: SrReO3
Source: the Open Quantum Materials Database
Functional: GGA-PBE
Structure: optimized geometry

CIF file:
```
data_SrReO3
_chemical_formula_sum 'Sr4 Re4 O12'
_symmetry_space_group_name_H-M 'P 1'
_symmetry_Int_Tables_number 1
_cell_length_a 5.601
_cell_length_b 5.601
_cell_length_c 9.396
_cell_angle_alpha 90.00
_cell_angle_beta 90.00
_cell_angle_gamma 119.67
loop_
_symmetry_equiv_pos_as_xyz
'x,y,z'
loop_
_atom_site_label
_atom_site_fract_x
_atom_site_fract_y
_atom_site_fract_z
Sr1 0.157 0.843 0.750
Sr2 0.471 0.471 0.000
Sr3 0.529 0.529 0.500
Sr4 0.843 0.157 0.250
Re1 0.135 0.796 0.118
Re2 0.204 0.865 0.382
Re3 0.796 0.135 0.882
Re4 0.865 0.204 0.618
O1 0.062 0.062 0.500
O2 0.066 0.567 0.524
O3 0.159 0.337 0.775
O4 0.336 0.664 0.250
O5 0.337 0.159 0.225
O6 0.433 0.934 0.976
O7 0.567 0.066 0.476
O8 0.663 0.841 0.725
O9 0.664 0.336 0.750
O10 0.841 0.663 0.275
O11 0.934 0.433 0.024
O12 0.938 0.938 0.000
```

Calculated values
- Space group: C222_1 (20)
- Total energy: -0.286 Ha/atom
- Spin magnetization: 0.01 Bohr magnetons per cell

---

Compound: SrRe2O8
Source: the Open Quantum Materials Database
Functional: GGA-PBE
Structure: optimized geometry

CIF file:
```
data_SrRe2O8
_chemical_formula_sum 'Sr4 Re8 O32'
_symmetry_space_group_name_H-M 'P 1'
_symmetry_Int_Tables_number 1
_cell_length_a 6.139
_cell_length_b 9.784
_cell_length_c 13.270
_cell_angle_alpha 90.00
_cell_angle_beta 111.02
_cell_angle_gamma 90.00
loop_
_symmetry_equiv_pos_as_xyz
'x,y,z'
loop_
_atom_site_label
_atom_site_fract_x
_atom_site_fract_y
_atom_site_fract_z
Sr1 0.161 0.247 0.364
Sr2 0.161 0.253 0.864
Sr3 0.839 0.747 0.136
Sr4 0.839 0.753 0.636
Re1 0.171 0.654 0.423
Re2 0.171 0.846 0.923
Re3 0.390 0.028 0.659
Re4 0.390 0.472 0.159
Re5 0.610 0.528 0.841
Re6 0.610 0.972 0.341
Re7 0.829 0.154 0.077
Re8 0.829 0.346 0.577
O1 0.020 0.168 0.007
O2 0.020 0.332 0.507
O3 0.120 0.501 0.351
O4 0.120 0.999 0.851
O5 0.122 0.710 0.830
O6 0.122 0.790 0.330
O7 0.176 0.591 0.155
O8 0.176 0.909 0.655
O9 0.329 0.090 0.527
O10 0.329 0.410 0.027
O11 0.340 0.056 0.296
O12 0.340 0.444 0.796
O13 0.398 0.162 0.747
O14 0.398 0.338 0.247
O15 0.460 0.659 0.512
O16 0.460 0.841 0.012
O17 0.540 0.159 0.988
O18 0.540 0.341 0.488
O19 0.602 0.662 0.753
O20 0.602 0.838 0.253
O21 0.660 0.556 0.204
O22 0.660 0.944 0.704
O23 0.671 0.590 0.973
O24 0.671 0.910 0.473
O25 0.824 0.091 0.345
O26 0.824 0.409 0.845
O27 0.878 0.210 0.670
O28 0.878 0.290 0.170
O29 0.880 0.001 0.149
O30 0.880 0.499 0.649
O31 0.980 0.668 0.493
O32 0.980 0.832 0.993
```

Calculated values
- Space group: P2_1/c (14)
- Total energy: -0.294 Ha/atom
- Spin magnetization: 0.01 Bohr magnetons per cell

---

Compound: SrReO3
Source: the Open Quantum Materials Database
Functional: GGA-PBE
Structure: optimized geometry

CIF file:
```
data_SrReO3
_chemical_formula_sum 'Sr2 Re2 O6'
_symmetry_space_group_name_H-M 'P 1'
_symmetry_Int_Tables_number 1
_cell_length_a 6.170
_cell_length_b 6.170
_cell_length_c 6.170
_cell_angle_alpha 53.71
_cell_angle_beta 53.71
_cell_angle_gamma 53.71
loop_
_symmetry_equiv_pos_as_xyz
'x,y,z'
loop_
_atom_site_label
_atom_site_fract_x
_atom_site_fract_y
_atom_site_fract_z
Sr1 0.133 0.133 0.133
Sr2 0.867 0.867 0.867
Re1 0.340 0.340 0.340
Re2 0.660 0.660 0.660
O1 0.057 0.466 0.692
O2 0.308 0.943 0.534
O3 0.466 0.692 0.057
O4 0.534 0.308 0.943
O5 0.692 0.057 0.466
O6 0.943 0.534 0.308
```

Calculated values
- Space group: R-3 (148)
- Total energy: -0.279 Ha/atom
- Spin magnetization: 6.00 Bohr magnetons per cell

---

Compound: SrRe2O8
Source: the Open Quantum Materials Database
Functional: GGA-PBE
Structure: optimized geometry

CIF file:
```
data_SrRe2O8
_chemical_formula_sum 'Sr1 Re2 O8'
_symmetry_space_group_name_H-M 'P 1'
_symmetry_Int_Tables_number 1
_cell_length_a 6.380
_cell_length_b 6.380
_cell_length_c 5.531
_cell_angle_alpha 90.00
_cell_angle_beta 90.00
_cell_angle_gamma 120.00
loop_
_symmetry_equiv_pos_as_xyz
'x,y,z'
loop_
_atom_site_label
_atom_site_fract_x
_atom_site_fract_y
_atom_site_fract_z
Sr1 0.000 0.000 0.000
Re1 0.333 0.667 0.654
Re2 0.667 0.333 0.346
O1 0.158 0.368 0.757
O2 0.210 0.842 0.757
O3 0.333 0.667 0.340
O4 0.368 0.210 0.243
O5 0.632 0.790 0.757
O6 0.667 0.333 0.660
O7 0.790 0.158 0.243
O8 0.842 0.632 0.243
```

Calculated values
- Space group: P-3 (147)
- Total energy: -0.293 Ha/atom
- Spin magnetization: 0.00 Bohr magnetons per cell

---

Compound: Sr3ReO6
Source: the Open Quantum Materials Database
Functional: GGA-PBE
Structure: optimized geometry

CIF file:
```
data_Sr3ReO6
_chemical_formula_sum 'Sr6 Re2 O12'
_symmetry_space_group_name_H-M 'P 1'
_symmetry_Int_Tables_number 1
_cell_length_a 5.775
_cell_length_b 6.056
_cell_length_c 10.110
_cell_angle_alpha 90.00
_cell_angle_beta 124.81
_cell_angle_gamma 90.00
loop_
_symmetry_equiv_pos_as_xyz
'x,y,z'
loop_
_atom_site_label
_atom_site_fract_x
_atom_site_fract_y
_atom_site_fract_z
Sr1 0.000 0.000 0.000
Sr2 0.000 0.500 0.500
Sr3 0.262 0.056 0.747
Sr4 0.262 0.444 0.247
Sr5 0.738 0.556 0.753
Sr6 0.738 0.944 0.253
Re1 0.500 0.000 0.500
Re2 0.500 0.500 0.000
O1 0.177 0.043 0.280
O2 0.177 0.457 0.780
O3 0.272 0.673 0.046
O4 0.272 0.827 0.546
O5 0.397 0.233 0.062
O6 0.397 0.267 0.562
O7 0.603 0.733 0.438
O8 0.603 0.767 0.938
O9 0.728 0.173 0.454
O10 0.728 0.327 0.954
O11 0.823 0.543 0.220
O12 0.823 0.957 0.720
```

Calculated values
- Space group: P2_1/c (14)
- Total energy: -0.263 Ha/atom
- Spin magnetization: 2.00 Bohr magnetons per cell

---

Compound: Sr2TbReO6
Source: the Open Quantum Materials Database
Functional: GGA-PBE
Structure: optimized geometry

CIF file:
```
data_Sr2TbReO6
_chemical_formula_sum 'Sr2 Tb1 Re1 O6'
_symmetry_space_group_name_H-M 'P 1'
_symmetry_Int_Tables_number 1
_cell_length_a 5.850
_cell_length_b 5.850
_cell_length_c 5.850
_cell_angle_alpha 60.00
_cell_angle_beta 60.00
_cell_angle_gamma 60.00
loop_
_symmetry_equiv_pos_as_xyz
'x,y,z'
loop_
_atom_site_label
_atom_site_fract_x
_atom_site_fract_y
_atom_site_fract_z
Sr1 0.250 0.250 0.250
Sr2 0.750 0.750 0.750
Tb1 0.000 0.000 0.000
Re1 0.500 0.500 0.500
O1 0.265 0.265 0.735
O2 0.265 0.735 0.265
O3 0.265 0.735 0.735
O4 0.735 0.265 0.265
O5 0.735 0.265 0.735
O6 0.735 0.735 0.265
```

Calculated values
- Space group: Fm-3m (225)
- Total energy: -0.279 Ha/atom
- Spin magnetization: 2.00 Bohr magnetons per cell